No. 1
DFT (GGA-PBEsol) results for an optimized crystal structure of Ge2IrRu.

Cell lengths 4.288, 4.288, 4.288 Å; angles 60.00, 60.00, 60.00 degrees
Positions (direct):
1 Ru 0.000 0.000 0.000
2 Ge 0.250 0.250 0.250
3 Ge 0.750 0.750 0.750
4 Ir 0.500 0.500 0.500

Summary:
As for the energy: -30.41 eV/cell. The calculation puts the formation energy at -0.53 eV/f.u. The total magnetization is 0.01 μB/f.u.

No. 2
DFT (GGA-PBEsol) results for an optimized crystal structure of GeIr2S.

Cell lengths 4.304, 4.304, 4.304 Å; angles 60.00, 60.00, 60.00 degrees
Positions (direct):
1 Ge 0.500 0.500 0.500
2 Ir 0.250 0.250 0.250
3 Ir 0.750 0.750 0.750
4 S 0.000 0.000 0.000

Summary:
As for the energy: -27.71 eV/cell. For the formation energy from raw total energies, the calculation gives 0.314 eV per atom. The total magnetization is 0.00 μB/f.u.

No. 3
DFT (GGA-PBEsol) results for an optimized crystal structure of GeSb3Ir.

Cell lengths 5.126, 5.126, 5.126 Å; angles 90.00, 90.00, 90.00 degrees
Positions (direct):
1 Sb 0.000 0.500 0.000
2 Sb 0.000 0.000 0.500
3 Sb 0.500 0.000 0.000
4 Ge 0.500 0.500 0.500
5 Ir 0.000 0.000 0.000

Summary:
As for the energy: -25.25 eV/cell. For the formation energy from raw total energies, the calculation gives 0.636 eV per atom. The total magnetization is 0.00 μB/f.u.

No. 4
DFT (GGA-PBEsol) results for an optimized crystal structure of ScGeIr.

Cell lengths 4.270, 6.316, 7.355 Å; angles 90.00, 90.00, 90.00 degrees
Positions (direct):
1 Sc 0.250 0.491 0.206
2 Sc 0.750 0.009 0.706
3 Sc 0.250 0.991 0.294
4 Sc 0.750 0.509 0.794
5 Ge 0.750 0.189 0.083
6 Ge 0.750 0.689 0.417
7 Ge 0.250 0.811 0.917
8 Ge 0.250 0.311 0.583
9 Ir 0.750 0.781 0.089
10 Ir 0.750 0.281 0.411
11 Ir 0.250 0.719 0.589
12 Ir 0.250 0.219 0.911

Summary:
As for the energy: -96.55 eV/cell. The calculation puts the formation energy at -2.77 eV/f.u. The total magnetization is 0.00 μB/f.u.

Question: energy of number 4 (ScGeIr)?
Answer: -96.55 eV/cell